The following is a DFT calculation (PBE) of Sn2HgPdS after structural relaxation.

Values from the calculation:
ΔE_f (raw)   77 meV per atom

Cell lengths 5.1514, 5.1490, 5.1514 Å; angles 90.00, 90.00, 90.00 degrees
Sites, in units of the cell vectors:
Sn (0.0000, 0.0000, 0.5000)
Pd (0.0000, 0.0000, 0.0000)
Sn (0.5000, 0.0000, 0.0000)
S (0.5000, 0.5000, 0.5000)
Hg (0.0000, 0.5000, 0.0000)

---

The following is a DFT calculation (PBE) of TeRhSe2 after structural relaxation.

Values from the calculation:
ΔE_f (raw)   -221 meV per atom

Cell lengths 8.3932, 8.3932, 8.3932 Å; angles 25.80, 25.80, 25.80 degrees
Sites, in units of the cell vectors:
Te (0.0000, 0.0000, 0.0000)
Rh (0.5000, 0.5000, 0.5000)
Se (0.8854, 0.8854, 0.8854)
Se (0.1146, 0.1146, 0.1146)

---

The following is a DFT calculation (PBE) of MoN2 after structural relaxation.

Values from the calculation:
ΔE_f (raw)   108 meV per atom

Cell lengths 5.7832, 5.7832, 3.7771 Å; angles 80.42, 80.42, 35.62 degrees
Sites, in units of the cell vectors:
N (0.4406, 0.4406, 0.7770)
Mo (0.6252, 0.6252, 0.6860)
N (0.8053, 0.8053, 0.2931)
N (0.1947, 0.1947, 0.7069)
N (0.5594, 0.5594, 0.2230)
Mo (0.3748, 0.3748, 0.3140)

---

The following is a DFT calculation (PBE) of AlCuGe2Ru after structural relaxation.

Cell lengths 4.7282, 4.7823, 4.7282 Å; angles 90.00, 90.00, 90.00 degrees
Sites, in units of the cell vectors:
Ge (0.5000, 0.0000, 0.0000)
Al (0.0000, 0.5000, 0.0000)
Ru (0.0000, 0.0000, 0.0000)
Cu (0.5000, 0.5000, 0.5000)
Ge (0.0000, 0.0000, 0.5000)

---

no.,Fermi-level density of states (states/eV per cell),final energy (eV/atom),volume (Å³/f.u.)
1,1.4,-3.45,136.6
2,1.8,-4.59,98.6
3,1.6,-9.05,36.2
4,1.7,-4.93,106.9